# Ac5PmPrY2 (PBE-GGA, optimized geometry)
data_Ac5PmPrY2
_chemical_formula_sum 'Ac20 Pm4 Pr4 Y8'
_symmetry_space_group_name_H-M 'C m c 21'
_symmetry_Int_Tables_number 36
_cell_length_a 5.958
_cell_length_b 21.956
_cell_length_c 11.275
_cell_angle_alpha 90.00
_cell_angle_beta 90.00
_cell_angle_gamma 90.00
loop_
_symmetry_equiv_pos_as_xyz
'x,y,z'
'-x,-y,z+1/2'
'-x,y,z'
'x,-y,z+1/2'
'x+1/2,y+1/2,z'
'-x+1/2,-y+1/2,z+1/2'
'-x+1/2,y+1/2,z'
'x+1/2,-y+1/2,z+1/2'
loop_
_atom_site_label
_atom_site_type_symbol
_atom_site_fract_x
_atom_site_fract_y
_atom_site_fract_z
_atom_site_occupancy
Ac1 Ac 0.000 0.010 0.000 1
Ac2 Ac 0.000 0.277 0.311 1
Ac3 Ac 0.000 0.298 0.693 1
Ac4 Ac 0.000 0.375 0.007 1
Ac5 Ac 0.000 0.489 0.737 1
Pm1 Pm 0.000 0.194 0.003 1
Pr1 Pr 0.000 0.406 0.459 1
Y1 Y 0.000 0.112 0.280 1
Y2 Y 0.000 0.115 0.737 1
# Formation energy ... 0.155 eV per atom